# YMg4Ga2 | Alexandria | PBE | relaxed
# Relative energy among the computed polymorphs in meV per atom: 0
# Calculated formation energy in eV per atom: -0.257
# V in Å³ per cell: 306.6
# N(E_F) in states/eV/atom: 0.4611
# Crystal system: orthorhombic
data_YMg4Ga2
_cell_length_a 4.345
_cell_length_b 16.383
_cell_length_c 4.307
_cell_angle_alpha 90.00
_cell_angle_beta 90.00
_cell_angle_gamma 90.00
_symmetry_space_group_name_H-M 'C m m m'
_symmetry_Int_Tables_number 65
_symmetry_space_group_name_Hall '-C 2 2'
loop_
_atom_site_label
_atom_site_type_symbol
_atom_site_fract_x
_atom_site_fract_y
_atom_site_fract_z
Y1 Y 0.000 0.000 0.000
Mg1 Mg 0.000 0.177 0.500
Mg2 Mg 0.000 0.322 0.000
Ga1 Ga 0.000 0.426 0.500

# Y2MgGa | Alexandria | PBE | relaxed
# Calculated formation energy in eV per atom: 0.072
# V in Å³ per cell: 231.5
# N(E_F) in states/eV/atom: 1.1567
# Crystal system: tetragonal
data_Y2MgGa
_cell_length_a 3.746
_cell_length_b 3.746
_cell_length_c 16.493
_cell_angle_alpha 90.00
_cell_angle_beta 90.00
_cell_angle_gamma 90.00
_symmetry_space_group_name_H-M 'I 4/m m m'
_symmetry_Int_Tables_number 139
_symmetry_space_group_name_Hall '-I 4 2'
loop_
_atom_site_label
_atom_site_type_symbol
_atom_site_fract_x
_atom_site_fract_y
_atom_site_fract_z
Y1 Y 0.000 0.000 0.177
Mg1 Mg 0.000 0.000 0.500
Ga1 Ga 0.000 0.000 0.000

# Y2MgGa | Alexandria | PBE | relaxed
# Calculated formation energy in eV per atom: 0.155
# V in Å³ per cell: 347.3
# N(E_F) in states/eV/atom: 0.9860
# Crystal system: trigonal
data_Y2MgGa
_cell_length_a 3.4353
_cell_length_b 3.4353
_cell_length_c 33.9861
_cell_angle_alpha 90.00
_cell_angle_beta 90.00
_cell_angle_gamma 120.00
_symmetry_space_group_name_H-M 'R -3 m'
_symmetry_Int_Tables_number 166
_symmetry_space_group_name_Hall '-R 3 2"'
loop_
_atom_site_label
_atom_site_type_symbol
_atom_site_fract_x
_atom_site_fract_y
_atom_site_fract_z
Y1 Y 0.0000 0.0000 0.0885
Mg1 Mg 0.0000 0.0000 0.5000
Ga1 Ga 0.0000 0.0000 0.0000

# Y2MgZn4Ga3 | Alexandria | PBE | relaxed
# Calculated formation energy in eV per atom: -0.399
# V in Å³ per cell: 190.3
# N(E_F) in states/eV/atom: 0.3765
# Crystal system: tetragonal
data_Y2MgZn4Ga3
_cell_length_a 4.173
_cell_length_b 4.173
_cell_length_c 10.928
_cell_angle_alpha 90.00
_cell_angle_beta 90.00
_cell_angle_gamma 90.00
_symmetry_space_group_name_H-M 'P -4 m 2'
_symmetry_Int_Tables_number 115
loop_
_symmetry_equiv_pos_as_xyz
'x,y,z'
'y,-x,-z'
'-x,-y,z'
'-y,x,-z'
'-x,y,z'
'-y,-x,-z'
'x,-y,z'
'y,x,-z'
loop_
_atom_site_label
_atom_site_type_symbol
_atom_site_fract_x
_atom_site_fract_y
_atom_site_fract_z
Y1 Y 0.000 0.500 0.236
Mg1 Mg 0.000 0.000 0.500
Zn1 Zn 0.000 0.000 0.000
Zn2 Zn 0.000 0.500 0.645
Zn3 Zn 0.500 0.500 0.000
Ga1 Ga 0.000 0.500 0.865
Ga2 Ga 0.500 0.500 0.500

# Y4MgZn2Ga | Alexandria | PBE | relaxed
# Calculated formation energy in eV per atom: -0.362
# V in Å³ per cell: 575.5
# N(E_F) in states/eV/atom: 0.9809
# Crystal system: trigonal
data_Y4MgZn2Ga
_cell_length_a 5.1291
_cell_length_b 5.1291
_cell_length_c 25.2618
_cell_angle_alpha 90.00
_cell_angle_beta 90.00
_cell_angle_gamma 120.00
_symmetry_space_group_name_H-M 'R -3 m'
_symmetry_Int_Tables_number 166
_symmetry_space_group_name_Hall '-R 3 2"'
loop_
_atom_site_label
_atom_site_type_symbol
_atom_site_fract_x
_atom_site_fract_y
_atom_site_fract_z
Y1 Y 0.0000 0.0000 0.1200
Y2 Y 0.0000 0.0000 0.3710
Mg1 Mg 0.0000 0.0000 0.5000
Zn1 Zn 0.0000 0.0000 0.2415
Ga1 Ga 0.0000 0.0000 0.0000

# YMgZn2Ga2 | Alexandria | PBE | relaxed
# Calculated formation energy in eV per atom: -0.407
# V in Å³ per cell: 113.2
# N(E_F) in states/eV/atom: 0.2474
# Crystal system: trigonal
data_YMgZn2Ga2
_cell_length_a 4.3713
_cell_length_b 4.3713
_cell_length_c 6.8394
_cell_angle_alpha 90.00
_cell_angle_beta 90.00
_cell_angle_gamma 120.00
_symmetry_space_group_name_H-M 'P -3 m 1'
_symmetry_Int_Tables_number 164
_symmetry_space_group_name_Hall '-P 3 2"'
loop_
_atom_site_label
_atom_site_type_symbol
_atom_site_fract_x
_atom_site_fract_y
_atom_site_fract_z
Y1 Y 0.0000 0.0000 0.0000
Mg1 Mg 0.0000 0.0000 0.5000
Zn1 Zn 0.3333 0.6667 0.7269
Ga1 Ga 0.3333 0.6667 0.2531

# YMgZrGa2 | Alexandria | PBE | relaxed
# Calculated formation energy in eV per atom: 0.471
# V in Å³ per cell: 122.7
# N(E_F) in states/eV/atom: 0.6930
# Crystal system: tetragonal
data_YMgZrGa2
_cell_length_a 4.875
_cell_length_b 4.875
_cell_length_c 5.164
_cell_angle_alpha 90.00
_cell_angle_beta 90.00
_cell_angle_gamma 90.00
_symmetry_space_group_name_H-M 'P 4/m m m'
_symmetry_Int_Tables_number 123
_symmetry_space_group_name_Hall '-P 4 2'
loop_
_atom_site_label
_atom_site_type_symbol
_atom_site_fract_x
_atom_site_fract_y
_atom_site_fract_z
Y1 Y 0.000 0.000 0.000
Mg1 Mg 0.500 0.500 0.500
Zr1 Zr 0.500 0.500 0.000
Ga1 Ga 0.000 0.500 0.500

# MgZn5Ga2 | Alexandria | PBE | relaxed
# Calculated formation energy in eV per atom: 0.005
# V in Å³ per cell: 278.4
# N(E_F) in states/eV/atom: 0.1985
# Crystal system: orthorhombic
data_MgZn5Ga2
_cell_length_a 3.687
_cell_length_b 7.643
_cell_length_c 9.877
_cell_angle_alpha 90.00
_cell_angle_beta 90.00
_cell_angle_gamma 90.00
_symmetry_space_group_name_H-M 'I m m m'
_symmetry_Int_Tables_number 71
_symmetry_space_group_name_Hall '-I 2 2'
loop_
_atom_site_label
_atom_site_type_symbol
_atom_site_fract_x
_atom_site_fract_y
_atom_site_fract_z
Mg1 Mg 0.000 0.000 0.000
Zn1 Zn 0.000 0.197 0.367
Zn2 Zn 0.000 0.500 0.000
Ga1 Ga 0.000 0.500 0.266

# MgZn2Ga | Alexandria | PBE | relaxed
# Calculated formation energy in eV per atom: -0.023
# V in Å³ per cell: 70.7
# N(E_F) in states/eV/atom: 0.2978
# Crystal system: tetragonal
data_MgZn2Ga
_cell_length_a 3.602
_cell_length_b 3.602
_cell_length_c 5.450
_cell_angle_alpha 90.00
_cell_angle_beta 90.00
_cell_angle_gamma 90.00
_symmetry_space_group_name_H-M 'P 4/m m m'
_symmetry_Int_Tables_number 123
_symmetry_space_group_name_Hall '-P 4 2'
loop_
_atom_site_label
_atom_site_type_symbol
_atom_site_fract_x
_atom_site_fract_y
_atom_site_fract_z
Mg1 Mg 0.000 0.000 0.000
Zn1 Zn 0.500 0.500 0.260
Ga1 Ga 0.000 0.000 0.500

# MgZnGa14 | Alexandria | PBE | relaxed
# Calculated formation energy in eV per atom: 0.010
# V in Å³ per cell: 598.1
# N(E_F) in states/eV/atom: 0.4989
# Crystal system: orthorhombic
data_MgZnGa14
_cell_length_a 8.739
_cell_length_b 9.070
_cell_length_c 7.546
_cell_angle_alpha 90.00
_cell_angle_beta 90.00
_cell_angle_gamma 90.00
_symmetry_space_group_name_H-M 'C m m m'
_symmetry_Int_Tables_number 65
_symmetry_space_group_name_Hall '-C 2 2'
loop_
_atom_site_label
_atom_site_type_symbol
_atom_site_fract_x
_atom_site_fract_y
_atom_site_fract_z
Mg1 Mg 0.000 0.000 0.000
Zn1 Zn 0.000 0.500 0.000
Ga1 Ga 0.000 0.000 0.500
Ga2 Ga 0.000 0.254 0.251
Ga3 Ga 0.000 0.500 0.500
Ga4 Ga 0.243 0.500 0.248
Ga5 Ga 0.250 0.250 0.000
Ga6 Ga 0.250 0.250 0.500

# Mg3Zn2Ga9 | Alexandria | PBE | relaxed
# Calculated formation energy in eV per atom: -0.062
# V in Å³ per cell: 522.4
# N(E_F) in states/eV/atom: 0.2307
# Crystal system: orthorhombic
data_Mg3Zn2Ga9
_cell_length_a 4.268
_cell_length_b 10.437
_cell_length_c 11.726
_cell_angle_alpha 90.00
_cell_angle_beta 90.00
_cell_angle_gamma 90.00
_symmetry_space_group_name_H-M 'I m m m'
_symmetry_Int_Tables_number 71
_symmetry_space_group_name_Hall '-I 2 2'
loop_
_atom_site_label
_atom_site_type_symbol
_atom_site_fract_x
_atom_site_fract_y
_atom_site_fract_z
Mg1 Mg 0.000 0.000 0.000
Mg2 Mg 0.000 0.000 0.293
Zn1 Zn 0.000 0.170 0.500
Ga1 Ga 0.000 0.284 0.146
Ga2 Ga 0.000 0.374 0.359
Ga3 Ga 0.000 0.500 0.000